MnTc2Os | SCAN | single point on PBEsol structure

Calculated values
* N(E_F): 3.13 states/eV per cell
* symmetry: No. 71
* spin magnetization: 2.776 μB per cell
* calculated volume: 13.46 Å³ per atom
* uncorrected energy: -40.0321 eV per atom

Unit cell a=2.9990 b=4.2030 c=4.9908 alpha=114.90 beta=107.48 gamma=90.00
Last column: nearest neighbours and their distance in Å.
Element x y z (fractional)
Tc: 0.7664 0.7664 0.5327  2 Mn 2.50, 4 Tc 2.60, 2 Os 2.73
Tc: 0.2336 0.2336 0.4673  2 Mn 2.50, 4 Tc 2.60, 2 Os 2.73
Mn: 0.5000 0.0000 0.0000  4 Tc 2.50, 4 Os 2.58
Os: 0.0000 0.5000 0.0000  4 Mn 2.58, 4 Tc 2.73